Entry from the Alexandria database: an optimized crystal structure of VF3 (GGA+U).

Cell and atoms, written as CIF:
```
data_VF3
_symmetry_space_group_name_H-M 'P 1'
_symmetry_Int_Tables_number 1
_cell_length_a 5.2030
_cell_length_b 5.2112
_cell_length_c 5.4841
_cell_angle_alpha 61.62
_cell_angle_beta 61.55
_cell_angle_gamma 59.93
loop_
_symmetry_equiv_pos_as_xyz
'x,y,z'
loop_
_atom_site_label
_atom_site_type_symbol
_atom_site_fract_x
_atom_site_fract_y
_atom_site_fract_z
F1 F 0.7499 0.1394 0.7500
F2 F 0.3609 0.7502 0.7497
F3 F 0.8609 0.6393 0.2497
F4 F 0.6391 0.2498 0.2503
F5 F 0.2501 0.8606 0.2500
F6 F 0.1391 0.3607 0.7503
V1 V 0.5000 0.5000 0.5000
V2 V 0.0000 0.0000 0.0000
```

Output
Volume   53.8 Å³/f.u.
E   -6.141 eV per atom